Here is a geometry-optimized CeTh2ScSb4 structure from Alexandria via LeMat-Bulk. Energies are from PBE.

Calculated values
Energy relative to the elements, uncorrected   -21.6 kcal/mol of atoms
Final energy   -0.2346 hartree per atom
Symmetry   P2/m (10)

Cell: 7.646 4.442 7.676 Å, 90.00 109.62 90.00°
Atoms (fractional coordinates):
Ce 0.000 0.000 0.000
Th 0.500 0.000 0.500
Th 0.500 0.500 0.000
Sc 0.000 0.500 0.500
Sb 0.234 0.000 0.736
Sb 0.240 0.500 0.256
Sb 0.760 0.500 0.744
Sb 0.766 0.000 0.264